Computed, not measured: a geometry-optimized MoSe2 structure at the PBE-GGA level of DFT.

Unit cell a=3.2967 b=5.5921 c=6.3600 alpha=90.00 beta=90.00 gamma=90.00
With the nearest neighbours (Å) after each atom.
Positions (direct):
Mo 0.0000 0.0000 0.0000  6 Se 2.52-2.55
Mo 0.5000 0.5000 0.5000  6 Se 2.52-2.55
Se 0.0000 0.1931 0.6421  3 Mo 2.52-2.55, 1 Se 2.82
Se 0.0000 0.8069 0.3579  3 Mo 2.52-2.55, 1 Se 2.82
Se 0.5000 0.6931 0.8579  3 Mo 2.52-2.55, 1 Se 2.82
Se 0.5000 0.3069 0.1421  3 Mo 2.52-2.55, 1 Se 2.82

Properties
Total energy (eV/atom): -6.29
Theoretical density (g cm⁻³): 7.2